The following is a PBE calculation of crystalline TeC2 at its relaxed geometry, from the Alexandria database.

Theoretical density = 5.84 g/cm3
E = -5.60 eV/atom
V = 14.367 Å³/atom
Energy relative to the lowest polymorph listed for this composition = 0.673 eV/atom

abc: 3.4541 3.4541 4.1713
angles: 90.00 90.00 120.00
Space group P-6m2 (No. 187)
Asymmetric unit:
Te 0.0000 0.0000 0.0000
C 0.6667 0.3333 0.3417

The following is a PBE calculation of crystalline Te2C at its relaxed geometry, from the Alexandria database.

Theoretical density = 5.60 g/cm3
E = -3.98 eV/atom
V = 26.415 Å³/atom
Energy relative to the lowest polymorph listed for this composition = 0.465 eV/atom

abc: 15.359 3.179 6.614
angles: 90.00 101.04 90.00
Space group Cm (No. 8)
Asymmetric unit:
Te 0.000 0.000 0.000
Te 0.077 0.500 0.557
Te 0.206 0.000 0.174
Te 0.339 0.000 0.605
C 0.352 0.500 0.394
C 0.484 0.000 0.766

The following is a PBE calculation of crystalline Te4C at its relaxed geometry, from the Alexandria database.

Theoretical density = 5.35 g/cm3
E = -2.95 eV/atom
V = 32.428 Å³/atom
Energy relative to the lowest polymorph listed for this composition = 0.419 eV/atom

abc: 4.077 4.077 19.510
angles: 90.00 90.00 90.00
Space group I4/mmm (No. 139)
Asymmetric unit:
Te 0.000 0.000 0.067
Te 0.000 0.500 0.250
C 0.000 0.000 0.500

What did the second record say?
The following is a PBE calculation of crystalline Te2C at its relaxed geometry, from the Alexandria database.

Theoretical density = 5.60 g/cm3
E = -3.98 eV/atom
V = 26.415 Å³/atom
Energy relative to the lowest polymorph listed for this composition = 0.465 eV/atom

abc: 15.359 3.179 6.614
angles: 90.00 101.04 90.00
Space group Cm (No. 8)
Asymmetric unit:
Te 0.000 0.000 0.000
Te 0.077 0.500 0.557
Te 0.206 0.000 0.174
Te 0.339 0.000 0.605
C 0.352 0.500 0.394
C 0.484 0.000 0.766

Q: Number 1 is which compound?
A: TeC2

Q: Which of these has the highest theoretical density?
A: TeC2